The following is a GGA-PBEsol calculation of a relaxed structure of Na2PH2, from Alexandria.

a = 4.5443 Å, b = 4.5443 Å, c = 4.5443 Å
α = 105.36°, β = 111.57°, γ = 111.57°
Atoms (fractional coordinates):
H 0.0000 0.7050 0.7050
Na 0.5000 0.7500 0.2500
H 0.0000 0.2950 0.2950
Na 0.5000 0.2500 0.7500
P 0.0000 0.0000 0.0000

Output
**ρ**: 1.82 g/cm3
**Density of states at the Fermi level**: 1.22 states/eV per cell
**Calculated total energy**: -2.9568 eV per atom

***

The following is a GGA-PBEsol calculation of a relaxed structure of NaRe2PH, from Alexandria.

a = 3.8370 Å, b = 3.8370 Å, c = 4.0713 Å
α = 90.00°, β = 90.00°, γ = 90.00°
Atoms (fractional coordinates):
Re 0.5000 0.0000 0.0000
Re 0.0000 0.5000 0.0000
P 0.5000 0.5000 0.5000
Na 0.0000 0.0000 0.5000
H 0.0000 0.0000 0.0000

Output
**ρ**: 11.84 g/cm3
**Density of states at the Fermi level**: 3.81 states/eV per cell
**Calculated total energy**: -6.7110 eV per atom

***

The following is a GGA-PBEsol calculation of a relaxed structure of NaSi2PH, from Alexandria.

a = 4.7443 Å, b = 4.9432 Å, c = 4.9432 Å
α = 90.00°, β = 90.00°, γ = 90.00°
Last column: magnetic moment on the atom in μB.
Atoms (fractional coordinates):
Si 0.0000 0.5000 0.0000  -0.01
Na 0.0000 0.0000 0.0000  0.28
H 0.5000 0.5000 0.5000  0.00
P 0.5000 0.0000 0.0000  0.08
Si 0.0000 0.0000 0.5000  -0.01

Output
**ρ**: 1.59 g/cm3
**Density of states at the Fermi level**: 2.38 states/eV per cell
**Calculated total energy**: -2.4496 eV per atom

***

The following is a GGA-PBEsol calculation of a relaxed structure of Na2H2Pb, from Alexandria.

a = 3.3618 Å, b = 7.1027 Å, c = 7.1027 Å
α = 90.00°, β = 90.00°, γ = 90.00°
Atoms (fractional coordinates):
Pb 0.0000 0.0000 0.0000
Na 0.5000 0.1512 0.6512
H 0.0000 0.3423 0.8423
Pb 0.0000 0.5000 0.5000
Na 0.5000 0.6512 0.8488
H 0.0000 0.1577 0.3423
H 0.0000 0.6577 0.1577
H 0.0000 0.8423 0.6577
Na 0.5000 0.8488 0.3488
Na 0.5000 0.3488 0.1512

Output
**ρ**: 5.00 g/cm3
**Density of states at the Fermi level**: 2.21 states/eV per cell
**Calculated total energy**: -2.5461 eV per atom

***

The following is a GGA-PBEsol calculation of a relaxed structure of NaHPd3, from Alexandria.

a = 3.9979 Å, b = 3.9979 Å, c = 3.9979 Å
α = 90.00°, β = 90.00°, γ = 90.00°
Atoms (fractional coordinates):
Pd 0.5000 0.0000 0.0000
Pd 0.0000 0.0000 0.5000
Na 0.5000 0.5000 0.5000
H 0.0000 0.0000 0.0000
Pd 0.0000 0.5000 0.0000

Output
**ρ**: 8.92 g/cm3
**Density of states at the Fermi level**: 4.21 states/eV per cell
**Polymorph energy (0 for the lowest one)**: 0.035 eV/atom
**Calculated total energy**: -4.6134 eV per atom

***

The following is a GGA-PBEsol calculation of a relaxed structure of Na2H2Pd, from Alexandria.

a = 3.4938 Å, b = 3.4938 Å, c = 6.1239 Å
α = 106.57°, β = 106.57°, γ = 90.00°
Atoms (fractional coordinates):
H 0.8501 0.8501 0.7002
Na 0.3592 0.3592 0.7184
H 0.1499 0.1499 0.2998
Pd 0.0000 0.0000 0.0000
Na 0.6408 0.6408 0.2816

Output
**ρ**: 3.75 g/cm3
**Density of states at the Fermi level**: 0.42 states/eV per cell
**Polymorph energy (0 for the lowest one)**: 0.000 eV/atom
**Calculated total energy**: -3.3122 eV per atom

***

The following is a GGA-PBEsol calculation of a relaxed structure of Na2H4Pd, from Alexandria.

a = 4.8854 Å, b = 4.8854 Å, c = 4.8854 Å
α = 97.59°, β = 115.72°, γ = 115.72°
Atoms (fractional coordinates):
H 0.4471 0.2235 0.2235
H 0.5529 0.7765 0.7765
H 0.0000 0.7765 0.2235
H 0.0000 0.2235 0.7765
Na 0.5000 0.2500 0.7500
Pd 0.0000 0.0000 0.0000
Na 0.5000 0.7500 0.2500

Output
**ρ**: 2.99 g/cm3
**Density of states at the Fermi level**: 0.00 states/eV per cell
**Calculated total energy**: -3.3877 eV per atom

***

The following is a GGA-PBEsol calculation of a relaxed structure of NaH2Pd2, from Alexandria.

a = 3.6654 Å, b = 3.6654 Å, c = 5.3375 Å
α = 110.08°, β = 110.08°, γ = 90.00°
Atoms (fractional coordinates):
H 0.2500 0.7500 0.5000
Pd 0.7033 0.7033 0.4067
H 0.7500 0.2500 0.5000
Na 0.0000 0.0000 0.0000
Pd 0.2967 0.2967 0.5933

Output
**ρ**: 6.30 g/cm3
**Density of states at the Fermi level**: 1.01 states/eV per cell
**Calculated total energy**: -4.1359 eV per atom

***

The following is a GGA-PBEsol calculation of a relaxed structure of Na2H2Pd, from Alexandria.

a = 3.9970 Å, b = 3.9970 Å, c = 5.0487 Å
α = 113.32°, β = 113.32°, γ = 90.00°
Atoms (fractional coordinates):
Pd 0.0000 0.0000 0.0000
Na 0.3416 0.3416 0.6831
Na 0.6584 0.6584 0.3169
H 0.7500 0.2500 0.5000
H 0.2500 0.7500 0.5000

Output
**ρ**: 3.84 g/cm3
**Density of states at the Fermi level**: 2.59 states/eV per cell
**Polymorph energy (0 for the lowest one)**: 0.674 eV/atom
**Calculated total energy**: -2.6386 eV per atom

***

The following is a GGA-PBEsol calculation of a relaxed structure of NaHPd3, from Alexandria.

a = 4.6042 Å, b = 4.6042 Å, c = 4.6042 Å
α = 90.00°, β = 90.00°, γ = 90.00°
Atoms (fractional coordinates):
Pd 0.0000 0.0000 0.5000
H 0.5000 0.5000 0.5000
Pd 0.5000 0.0000 0.0000
Pd 0.0000 0.5000 0.0000
Na 0.0000 0.0000 0.0000

Output
**ρ**: 5.84 g/cm3
**Density of states at the Fermi level**: 7.78 states/eV per cell
**Polymorph energy (0 for the lowest one)**: 1.927 eV/atom
**Calculated total energy**: -2.7214 eV per atom

***

The following is a GGA-PBEsol calculation of a relaxed structure of NaH2Pd3, from Alexandria.

a = 2.7812 Å, b = 5.1014 Å, c = 5.1014 Å
α = 113.36°, β = 90.00°, γ = 90.00°
Atoms (fractional coordinates):
Pd 0.5000 0.0000 0.5000
H 0.0000 0.2170 0.7830
Pd 0.0000 0.0000 0.0000
Pd 0.5000 0.5000 0.0000
H 0.0000 0.7830 0.2170
Na 0.0000 0.5000 0.5000

Output
**ρ**: 8.60 g/cm3
**Density of states at the Fermi level**: 1.79 states/eV per cell
**Calculated total energy**: -4.5120 eV per atom

***

The following is a GGA-PBEsol calculation of a relaxed structure of NaH2Pd, from Alexandria.

a = 4.4097 Å, b = 4.4097 Å, c = 5.7003 Å
α = 112.75°, β = 112.75°, γ = 90.00°
Atoms (fractional coordinates):
Na 0.5000 0.5000 0.0000
Pd 0.0000 0.0000 0.0000
H 0.1250 0.9986 0.7500
Pd 0.2500 0.7500 0.5000
Na 0.7500 0.2500 0.5000
H 0.0014 0.3750 0.2500
H 0.2486 0.8750 0.2500
H 0.6250 0.7514 0.7500

Output
**ρ**: 4.70 g/cm3
**Density of states at the Fermi level**: 1.26 states/eV per cell
**Calculated total energy**: -3.6428 eV per atom